1.
Computed, not measured: Y2ErAg2 after structural relaxation at the PBE level of DFT.

Geometry as POSCAR:
```
Y2ErAg2
1.0
3.755 0.000 0.000
0.000 8.332 0.000
0.000 0.000 8.332
Y Er Ag
4 2 4
direct
0.500 0.168 0.668 Y
0.500 0.332 0.168 Y
0.500 0.832 0.332 Y
0.500 0.668 0.832 Y
0.000 0.000 0.000 Er
0.000 0.500 0.500 Er
0.000 0.873 0.627 Ag
0.000 0.127 0.373 Ag
0.000 0.373 0.873 Ag
0.000 0.627 0.127 Ag
```

**Total magnetization**: 0.00 Bohr magnetons per cell
**Relative energy among the computed polymorphs**: 0.025 eV per atom

2.
Computed, not measured: Y4ErAg2 after structural relaxation at the PBE level of DFT.

Geometry as POSCAR:
```
Y4ErAg2
1.0
5.436 0.000 0.000
2.718 4.708 0.000
2.718 1.569 8.312
Y Ag Er
4 2 1
direct
0.874 0.874 0.377 Y
0.729 0.729 0.814 Y
0.271 0.271 0.186 Y
0.126 0.126 0.623 Y
0.612 0.612 0.165 Ag
0.388 0.388 0.835 Ag
0.500 0.500 0.500 Er
```

**Energy**: -0.371 Ry/atom
**Total magnetization**: 0.00 Bohr magnetons per cell

3.
Computed, not measured: YErZnAg after structural relaxation at the PBE level of DFT.

Geometry as POSCAR:
```
YErZnAg
1.0
-3.558 3.628 -0.142
-4.756 -1.156 -1.375
-3.727 0.042 3.457
Er Ag Y Zn
1 1 1 1
direct
0.250 0.250 0.250 Er
0.000 0.000 0.000 Ag
0.750 0.750 0.750 Y
0.500 0.500 0.500 Zn
```

**Total magnetization**: 0.00 Bohr magnetons per cell
**Relative energy among the computed polymorphs**: 0.014 eV per atom

4.
Computed, not measured: YErZnAg after structural relaxation at the PBE level of DFT.

Geometry as POSCAR:
```
YErZnAg
1.0
-1.677 2.877 1.341
-0.547 -1.756 3.083
6.253 2.470 2.517
Y Ag Zn Er
1 1 1 1
direct
0.500 0.500 0.115 Y
0.000 0.000 0.849 Ag
0.000 0.000 0.363 Zn
0.500 0.500 0.601 Er
```

**Total magnetization**: 0.00 Bohr magnetons per cell
**Relative energy among the computed polymorphs**: 0.000 eV per atom

5.
Computed, not measured: Er6ZnAg2 after structural relaxation at the PBE level of DFT.

Geometry as POSCAR:
```
Er6ZnAg2
1.0
0.277 -7.549 3.885
7.527 3.796 1.050
-6.047 4.980 3.285
Er Ag Zn
12 4 2
direct
0.440 0.265 0.176 Er
0.911 0.735 0.176 Er
0.807 0.750 0.557 Er
0.807 0.250 0.056 Er
0.193 0.750 0.944 Er
0.276 0.949 0.673 Er
0.276 0.603 0.327 Er
0.089 0.265 0.824 Er
0.724 0.397 0.673 Er
0.560 0.735 0.824 Er
0.193 0.250 0.443 Er
0.724 0.051 0.327 Er
0.648 0.000 0.648 Ag
0.352 0.000 0.352 Ag
0.500 0.363 0.863 Ag
0.500 0.637 0.137 Ag
0.000 0.000 0.000 Zn
0.000 0.500 0.500 Zn
```

**Energy**: -0.293 Ry/atom
**Total magnetization**: 0.00 Bohr magnetons per cell

6.
Computed, not measured: ErZn3Ag9 after structural relaxation at the PBE level of DFT.

Geometry as POSCAR:
```
ErZn3Ag9
1.0
4.910 -0.089 1.993
2.262 6.644 0.918
-0.048 -0.044 7.163
Ag Er Zn
9 1 3
direct
0.333 0.658 0.645 Ag
0.517 0.211 0.785 Ag
0.301 0.211 0.215 Ag
0.699 0.789 0.785 Ag
0.022 0.342 0.645 Ag
0.978 0.658 0.355 Ag
0.000 0.500 0.000 Ag
0.667 0.342 0.355 Ag
0.483 0.789 0.215 Ag
0.000 0.000 0.000 Er
0.500 0.000 0.500 Zn
0.500 0.500 0.000 Zn
0.000 0.000 0.500 Zn
```

**Energy**: -0.200 Ry/atom
**Total magnetization**: 0.00 Bohr magnetons per cell